(1)
Entry from the Alexandria database: BaTl6Pb after structural relaxation (PBE).

Structure (extended XYZ):
```
8
Lattice="6.470 0.000 0.000 0.000 6.470 0.000 0.000 0.000 6.470" Properties=species:S:1:pos:R:3 pbc="T T T"
Ba 3.235 3.235 3.235
Tl 3.235 4.912 0.000
Tl 4.912 0.000 3.235
Tl 0.000 3.235 1.558
Tl 1.558 0.000 3.235
Tl 3.235 1.558 0.000
Tl 0.000 3.235 4.912
Pb 0.000 0.000 0.000
```

Results
Calculated volume   270.90 Å³/f.u.
Distance to the lowest polymorph of the same formula   107 meV/atom
Spin magnetization   0.0 μB per formula unit
DFT total energy   -2.52 eV/atom

---

(2)
Entry from the Alexandria database: BaTlPb2 after structural relaxation (PBE).

Structure (extended XYZ):
```
4
Lattice="5.818 0.000 0.000 2.909 5.039 0.000 2.909 1.680 4.750" Properties=species:S:1:pos:R:3 pbc="T T T"
Pb 0.000 0.000 0.000
Pb 2.909 1.680 1.188
Tl 8.727 5.039 3.563
Ba 5.818 3.359 2.375
```

Results
Calculated volume   139.26 Å³/f.u.
Distance to the lowest polymorph of the same formula   54 meV/atom
Spin magnetization   0.0 μB per formula unit
DFT total energy   -3.21 eV/atom

---

(3)
Entry from the Alexandria database: Ba3Tl5Pb6 after structural relaxation (PBE).

Structure (extended XYZ):
```
28
Lattice="-2.671 -3.263 2.841 2.839 -9.150 -7.843 12.814 -3.200 8.371" Properties=species:S:1:pos:R:3 pbc="T T T"
Ba 9.607 -4.510 3.851
Ba 3.283 -9.115 -2.834
Ba 11.117 -11.071 2.283
Ba 0.715 -2.303 -1.974
Ba 7.196 -10.078 -0.263
Ba 4.627 -3.266 0.598
Tl 12.448 -7.692 2.866
Tl 10.819 -10.078 -1.406
Tl 2.157 -6.954 -5.960
Tl 8.276 -7.889 3.268
Tl 5.753 -5.428 3.723
Tl 3.449 -5.445 -3.013
Tl 4.461 -6.937 0.776
Tl 6.955 -9.113 -3.930
Tl 9.904 -5.503 7.540
Tl 0.955 -3.268 1.693
Pb 13.599 -11.577 -0.515
Pb 7.125 -4.004 6.649
Pb 10.647 -7.857 5.533
Pb 0.247 -6.731 -2.950
Pb 7.664 -5.651 0.713
Pb 10.077 -7.724 0.601
Pb 6.239 -6.766 -1.907
Pb 1.361 -10.322 -6.028
Pb 4.718 -9.359 -6.317
Pb 1.671 -5.616 -0.330
Pb 6.550 -2.060 3.791
Pb 3.192 -3.022 4.080
```

Results
Calculated volume   492.16 Å³/f.u.
Spin magnetization   0.0 μB per formula unit
DFT total energy   -3.13 eV/atom

---

(4)
Entry from the Alexandria database: Ba2TlPb4 after structural relaxation (PBE).

Structure (extended XYZ):
```
14
Lattice="6.445 0.000 -2.070 0.000 6.989 0.000 0.852 0.000 11.173" Properties=species:S:1:pos:R:3 pbc="T T T"
Pb 4.069 3.553 2.138
Pb 5.600 1.747 8.315
Pb 1.698 5.241 0.788
Pb 4.069 6.930 2.138
Pb 5.035 5.241 5.003
Pb 3.228 0.058 6.965
Pb 3.228 3.436 6.965
Pb 2.262 1.747 4.100
Tl 5.962 1.747 0.191
Tl 1.335 5.241 8.912
Ba 1.884 1.747 -0.559
Ba 5.414 5.241 9.662
Ba 1.125 5.241 4.290
Ba 6.173 1.747 4.813
```

Results
Calculated volume   257.78 Å³/f.u.
Spin magnetization   0.0 μB per formula unit
DFT total energy   -3.37 eV/atom

---

(5)
Entry from the Alexandria database: Ba3Tl7Pb2 after structural relaxation (PBE).

Structure (extended XYZ):
```
12
Lattice="-2.979 -3.534 1.904 6.427 -2.940 -1.464 -10.523 11.309 14.985" Properties=species:S:1:pos:R:3 pbc="T T T"
Ba 1.724 -3.237 0.220
Ba -5.217 3.357 6.649
Ba -1.858 1.478 8.776
Tl -6.471 6.836 12.263
Tl -5.027 1.579 10.308
Tl 0.000 0.000 0.000
Tl -0.604 -2.001 3.163
Tl -2.301 -0.002 5.479
Tl -4.774 4.836 9.946
Tl -2.048 3.256 5.117
Pb -5.587 3.605 12.774
Pb -1.488 1.230 2.651
```

Results
Calculated volume   447.35 Å³/f.u.
Distance to the lowest polymorph of the same formula   37 meV/atom
Spin magnetization   0.0 μB per formula unit
DFT total energy   -2.69 eV/atom

---

(6)
Entry from the Alexandria database: BaTl3Pb3 after structural relaxation (PBE).

Structure (extended XYZ):
```
14
Lattice="-7.419 3.500 2.001 -7.063 -4.617 -0.295 -3.772 -2.469 8.149" Properties=species:S:1:pos:R:3 pbc="T T T"
Ba -8.603 -2.836 8.697
Ba -9.651 -0.751 1.159
Tl -11.821 -2.902 5.922
Tl -8.294 0.754 6.443
Tl -6.914 -3.933 4.955
Tl -11.340 0.346 4.901
Tl -9.961 -4.340 3.412
Tl -6.433 -0.684 3.933
Pb -7.179 -3.257 1.726
Pb -8.638 1.875 3.349
Pb -12.526 -2.085 2.795
Pb -5.728 -1.501 7.061
Pb -9.616 -5.462 6.506
Pb -11.075 -0.329 8.129
```

Results
Calculated volume   244.98 Å³/f.u.
Distance to the lowest polymorph of the same formula   0 meV/atom
Spin magnetization   0.0 μB per formula unit
DFT total energy   -3.01 eV/atom

---

(7)
Entry from the Alexandria database: BaTl6Pb4 after structural relaxation (PBE).

Structure (extended XYZ):
```
11
Lattice="-1.452 1.625 4.764 -5.508 -7.287 0.806 8.709 -0.501 2.825" Properties=species:S:1:pos:R:3 pbc="T T T"
Ba 0.000 0.000 0.000
Tl -2.352 -3.923 0.621
Tl 2.943 -3.918 5.113
Tl 1.122 -4.122 1.748
Tl -1.075 -7.029 2.069
Tl 5.100 -1.065 4.798
Tl 1.689 -0.868 3.691
Pb 0.017 -5.264 4.681
Pb -1.202 -2.300 3.298
Pb -3.299 -5.073 3.605
Pb 3.970 -2.763 2.152
```

Results
Calculated volume   381.46 Å³/f.u.
Spin magnetization   0.0 μB per formula unit
DFT total energy   -2.85 eV/atom

---

(8)
Entry from the Alexandria database: BaTlPb2 after structural relaxation (PBE).

Structure (extended XYZ):
```
8
Lattice="5.326 0.000 0.000 0.000 5.326 0.000 2.663 2.663 11.111" Properties=species:S:1:pos:R:3 pbc="T T T"
Pb 4.406 1.332 2.778
Pb 0.920 3.995 2.778
Pb 3.995 3.583 8.333
Pb 6.658 7.069 8.333
Tl 0.000 0.000 0.000
Tl 5.326 2.663 5.555
Ba 2.663 2.663 0.000
Ba 2.663 5.326 5.555
```

Results
Calculated volume   157.59 Å³/f.u.
Distance to the lowest polymorph of the same formula   187 meV/atom
Spin magnetization   0.0 μB per formula unit
DFT total energy   -3.08 eV/atom